# YV2Pt

A relaxed YV2Pt crystal (PBE-GGA, Alexandria).

The calculation puts the excess energy over the best structure of this formula in the dataset at 0.149 eV per atom. Its space group is I-42d (122). The calculation puts the size of the total moment at 2.21 μB/f.u. The calculation puts the raw total energy at -59.8 eV per cell. The value obtained for the formation energy is 0.853 eV/f.u.

a b c (Å): 6.016 6.016 6.016
angles (deg): 102.17 102.17 125.32
Fractional positions:
Y (0.000, 0.000, 0.000)
Y (0.750, 0.250, 0.500)
V (0.177, 0.625, 0.052)
V (0.375, 0.427, 0.552)
V (0.573, 0.125, 0.948)
V (0.875, 0.823, 0.448)
Pt (0.250, 0.750, 0.500)
Pt (0.500, 0.500, 0.000)